Nd2Ho8Th | PBE | relaxed

Summary:
The space group is No. 12. The calculated formation energy is 0.6 kcal/mol of atoms.

Cell: 5.043 7.955 9.419 Å, 104.59 105.53 90.00°
Fractional coordinates of all 11 atoms:
Nd: 0.772 0.364 0.544
Nd: 0.228 0.636 0.456
Ho: 0.411 0.549 0.822
Ho: 0.680 0.907 0.359
Ho: 0.866 0.824 0.732
Ho: 0.956 0.268 0.912
Ho: 0.134 0.176 0.268
Ho: 0.320 0.093 0.641
Ho: 0.589 0.451 0.178
Ho: 0.044 0.732 0.088
Th: 0.500 0.000 0.000

---

TcBiNF2 | PBE | relaxed

Summary:
The space group is No. 123. The formation energy (no corrections) is -0.485 eV per atom.

Cell: 4.374 4.374 3.822 Å, 90.00 90.00 90.00°
Fractional coordinates of all 5 atoms:
N: 0.000 0.000 0.500
F: 0.000 0.500 0.000
F: 0.500 0.000 0.000
Bi: 0.500 0.500 0.500
Tc: 0.000 0.000 0.000

---

Let's list total magnetization in order: 0.0, 0.0 μB per formula unit.
Let's list density of states at the Fermi level in order: 1.50, 0.87 states/eV/atom.